Density functional theory data (GGA-PBE) for TlGaNiI2 after structural relaxation.

Calculated values
- energy relative to the elements, uncorrected (eV per atom) = 0.44
- total magnetic moment (μB per atom) = 0.22

Unit cell a=6.4794 b=6.4794 c=4.9733 alpha=90.00 beta=90.00 gamma=90.00
With the nearest neighbours (Å) after each atom.
Atoms (fractional coordinates):
Tl 0.0000 0.0000 0.0000  2 Ni 2.49
Ga 0.5000 0.5000 0.5000  8 I 4.08
Ni 0.0000 0.0000 0.5000  2 Tl 2.49
I 0.0000 0.5000 0.0000  2 Tl 3.24
I 0.5000 0.0000 0.0000  2 Tl 3.24

***

Density functional theory data (GGA-PBE) for ZrFe2Rh after structural relaxation.

Calculated values
- total magnetic moment (μB per atom) = 1.28
- DFT total energy (eV/cell) = -64.5

Unit cell a=9.9365 b=9.9365 c=9.9365 alpha=158.69 beta=158.69 gamma=30.31
With the nearest neighbours (Å) after each atom.
Atoms (fractional coordinates):
Zr 0.0000 0.0000 0.0000  4 Rh 2.60, 4 Fe 2.75
Zr 0.7500 0.2500 0.5000  4 Rh 2.60, 4 Fe 2.75
Fe 0.1453 0.6250 0.0203  4 Fe 2.49-2.71, 2 Rh 2.70, 2 Zr 2.75
Fe 0.3750 0.3953 0.5203  4 Fe 2.49-2.71, 2 Rh 2.70, 2 Zr 2.75
Fe 0.6047 0.1250 0.9797  4 Fe 2.49-2.71, 2 Rh 2.70, 2 Zr 2.75
Fe 0.8750 0.8547 0.4797  4 Fe 2.49-2.71, 2 Rh 2.70, 2 Zr 2.75
Rh 0.2500 0.7500 0.5000  4 Zr 2.60, 4 Fe 2.70
Rh 0.5000 0.5000 0.0000  4 Zr 2.60, 4 Fe 2.70

***

Density functional theory data (GGA-PBE) for Na3TaNi2S6 after structural relaxation.

Calculated values
- energy relative to the elements, uncorrected (eV per atom) = -0.74
- total magnetic moment (μB per atom) = 0.33

Unit cell a=6.2111 b=6.2111 c=6.8729 alpha=98.66 beta=98.66 gamma=120.03
With the nearest neighbours (Å) after each atom.
Atoms (fractional coordinates):
Na 0.0000 0.0000 0.0000  6 S 2.83-2.85
Na 0.3330 0.6670 0.0000  6 S 2.83-2.85
Na 0.6670 0.3330 0.0000  6 S 2.83-2.85
Ta 0.5000 0.5000 0.5000  6 S 2.47
Ni 0.1667 0.8333 0.5000  6 S 2.45
Ni 0.8333 0.1667 0.5000  6 S 2.45
S 0.0962 0.4326 0.2979  2 Ni 2.45, 1 Ta 2.47
S 0.2312 0.2312 0.7024  2 Ni 2.45, 1 Ta 2.47
S 0.4326 0.0962 0.2979  2 Ni 2.45, 1 Ta 2.47
S 0.5674 0.9038 0.7021  2 Ni 2.45, 1 Ta 2.47
S 0.7688 0.7688 0.2976  2 Ni 2.45, 1 Ta 2.47
S 0.9038 0.5674 0.7021  2 Ni 2.45, 1 Ta 2.47

***

Density functional theory data (GGA-PBE) for BeTc2Hg after structural relaxation.

Calculated values
- total magnetic moment (μB per atom) = 0.00
- DFT total energy (eV/cell) = -23.7

Unit cell a=2.9721 b=2.9721 c=6.6954 alpha=90.00 beta=90.00 gamma=90.00
With the nearest neighbours (Å) after each atom.
Atoms (fractional coordinates):
Be 0.0000 0.0000 0.0000  8 Tc 2.41
Tc 0.5000 0.5000 0.1765  1 Tc 2.36, 4 Be 2.41
Tc 0.5000 0.5000 0.8235  1 Tc 2.36, 4 Be 2.41
Hg 0.0000 0.0000 0.5000  4 Hg 2.97, 8 Tc 3.02

***

Among the records above, which one has the highest total magnetic moment?
ZrFe2Rh

***

Number 4 is which compound?
BeTc2Hg